PBE Zr4PBr, optimized geometry; crystal system = cubic; theoretical density = 5861 kg/m3; space-group type = F-43m; E_form (uncorrected) = 0.42 eV/atom; density of states at the Fermi level = 5.5 states/eV/f.u.; magnetization = 0.00 μB per formula unit
1.0
0.000 4.070 4.070
4.070 0.000 4.070
4.070 4.070 0.000
Zr P Br
4 1 1
Cartesian
3.044 5.096 5.096
5.096 5.096 3.044
5.096 3.044 5.096
3.044 3.044 3.044
0.000 0.000 0.000
6.105 6.105 6.105

PBE Dy6In6Hg, optimized geometry; crystal system = hexagonal; theoretical density = 8445 kg/m3; space-group type = P6/mmm; DFT total energy = -48.3 eV/cell; density of states at the Fermi level = 10.3 states/eV/f.u.; magnetization = 0.00 μB per formula unit
1.0
6.336 -0.001 0.000
-3.168 5.487 0.000
0.000 0.000 10.547
Dy In Hg
6 6 1
Cartesian
0.000 0.000 7.252
0.000 0.000 3.295
0.000 3.657 0.000
3.167 1.828 0.000
0.000 3.657 5.274
3.167 1.828 5.274
-1.584 2.743 7.907
3.168 -0.001 7.907
1.584 2.743 7.907
3.168 -0.001 2.641
-1.584 2.743 2.641
1.584 2.743 2.641
0.000 0.000 0.000

PBE LaPmDy2Er5, optimized geometry; crystal system = tetragonal; theoretical density = 8201 kg/m3; space-group type = I4/mcm; DFT total energy = -78.5 eV/cell; density of states at the Fermi level = 11.2 states/eV/f.u.; magnetization = 0.00 μB per formula unit
1.0
-7.859 -0.557 -3.992
4.028 -1.376 -7.739
1.802 -6.429 7.121
La Pm Dy Er
2 2 4 10
Cartesian
-0.057 -3.698 0.628
-1.972 -4.664 -5.237
1.957 -4.386 -3.241
-3.986 -3.976 -1.368
0.650 -0.594 -3.439
-4.369 -0.500 -3.342
0.538 -1.433 -8.389
-4.481 -1.339 -8.291
-5.093 -2.792 -5.136
-3.231 -5.338 1.326
3.063 -5.570 0.527
0.329 -4.933 4.031
-0.497 -5.975 -2.178
-2.358 -3.429 -8.640
-1.532 -2.387 -2.431
1.202 -3.024 -5.935
-1.915 -0.967 -5.865
0.000 0.000 0.000

Repeat the second record exactly.
PBE Dy6In6Hg, optimized geometry; crystal system = hexagonal; theoretical density = 8445 kg/m3; space-group type = P6/mmm; DFT total energy = -48.3 eV/cell; density of states at the Fermi level = 10.3 states/eV/f.u.; magnetization = 0.00 μB per formula unit
1.0
6.336 -0.001 0.000
-3.168 5.487 0.000
0.000 0.000 10.547
Dy In Hg
6 6 1
Cartesian
0.000 0.000 7.252
0.000 0.000 3.295
0.000 3.657 0.000
3.167 1.828 0.000
0.000 3.657 5.274
3.167 1.828 5.274
-1.584 2.743 7.907
3.168 -0.001 7.907
1.584 2.743 7.907
3.168 -0.001 2.641
-1.584 2.743 2.641
1.584 2.743 2.641
0.000 0.000 0.000